A plane-wave DFT calculation with PBE-GGA was carried out for an optimized crystal structure of Cs3NpU3S8.

a b c (Å): 8.115 8.116 9.462
angles (deg): 115.40 90.00 120.00
Each line ends with the local moment (μB).
Positions (direct):
U1 0.000 0.500 0.500  2.48
Np1 0.000 0.000 0.500  3.86
S1 0.273 0.546 0.318  -0.06
S2 0.773 0.050 0.323  -0.07
Cs1 0.000 0.000 0.000  0.01
Cs2 0.500 0.500 0.000  0.01
U2 0.500 0.500 0.500  2.48
S3 0.773 0.546 0.323  -0.07
S4 0.227 0.454 0.677  -0.07
S5 0.727 0.454 0.682  -0.06
Cs3 0.000 0.500 0.000  0.01
S6 0.277 0.050 0.323  -0.07
S7 0.723 0.950 0.677  -0.07
U3 0.500 0.000 0.500  2.48
S8 0.227 0.950 0.677  -0.07

Output
raw total energy	-103.37	eV/f.u.

---

A plane-wave DFT calculation with PBE-GGA was carried out for an optimized crystal structure of NdYEr2.

a b c (Å): 3.571 3.571 10.083
angles (deg): 90.00 90.00 90.00
Positions (direct):
Nd1 0.500 0.500 0.000
Y1 0.500 0.500 0.500
Er1 0.000 0.000 0.747
Er2 0.000 0.000 0.253

Output
energy above the lowest structure with this stoichiometry	18	meV/atom
E_form	0.03	eV/atom

---

A plane-wave DFT calculation with PBE-GGA was carried out for an optimized crystal structure of Li2CuNi.

a b c (Å): 4.483 4.483 4.457
angles (deg): 81.11 81.11 32.96
Positions (direct):
Li1 0.502 0.502 0.494
Ni1 0.250 0.250 0.250
Li2 0.998 0.998 0.006
Cu1 0.750 0.750 0.750

Output
energy above the lowest structure with this stoichiometry	0	meV/atom
E_form	-0.01	eV/atom

---

A plane-wave DFT calculation with PBE-GGA was carried out for an optimized crystal structure of Nb2CuAgH.

a b c (Å): 4.029 4.029 4.268
angles (deg): 90.00 90.00 90.00
Positions (direct):
Ag1 0.000 0.000 0.500
Nb1 0.000 0.500 0.000
Nb2 0.500 0.000 0.000
Cu1 0.500 0.500 0.500
H1 0.000 0.000 0.000

Output
energy above the lowest structure with this stoichiometry	29	meV/atom

---

A plane-wave DFT calculation with PBE-GGA was carried out for an optimized crystal structure of MnAuCl2.

a b c (Å): 3.089 3.089 10.327
angles (deg): 90.00 90.00 90.00
Each line ends with the local moment (μB).
Positions (direct):
Cl1 0.000 0.000 0.101  0.13
Cl2 0.000 0.000 0.399  0.13
Au1 0.500 0.500 0.750  0.00
Mn1 0.500 0.500 0.250  4.39

Output
energy above the lowest structure with this stoichiometry	228	meV/atom

---

A plane-wave DFT calculation with PBE-GGA was carried out for an optimized crystal structure of SmTm2ScAs4.

a b c (Å): 4.066 7.037 7.029
angles (deg): 70.53 90.00 90.00
Positions (direct):
As1 0.000 0.753 0.740
As2 0.000 0.247 0.260
Sc1 0.000 0.500 0.500
As3 0.500 0.746 0.260
Tm1 0.500 0.000 0.500
As4 0.500 0.254 0.740
Tm2 0.000 0.000 0.000
Sm1 0.500 0.500 0.000

Output
E_form	-1.45	eV/atom

---

A plane-wave DFT calculation with PBE-GGA was carried out for an optimized crystal structure of AcLa2Sm.

a b c (Å): 6.026 6.026 6.026
angles (deg): 60.00 60.00 60.00
Each line ends with the local moment (μB).
Positions (direct):
La1 0.750 0.750 0.750  0.24
La2 0.250 0.250 0.250  0.24
Sm1 0.000 0.000 0.000  0.28
Ac1 0.500 0.500 0.500  0.13

Output
energy above the lowest structure with this stoichiometry	130	meV/atom
E_form	0.15	eV/atom

---

A plane-wave DFT calculation with PBE-GGA was carried out for an optimized crystal structure of CaYHf.

a b c (Å): 6.372 6.372 9.404
angles (deg): 109.67 109.67 31.37
Positions (direct):
Hf1 0.713 0.713 0.251
Ca1 0.565 0.565 0.722
Ca2 0.269 0.269 0.596
Y1 0.990 0.990 0.015
Y2 0.465 0.465 0.328
Hf2 0.257 0.257 0.011

Output
E_form	0.24	eV/atom

---

A plane-wave DFT calculation with PBE-GGA was carried out for an optimized crystal structure of TbBiBr.

a b c (Å): 7.465 8.011 6.472
angles (deg): 90.00 90.00 105.04
Positions (direct):
Bi1 0.179 0.555 0.644
Br1 0.607 0.009 0.746
Tb1 0.424 0.266 0.588
Bi2 0.321 0.445 0.144
Tb2 0.076 0.734 0.088
Br2 0.393 0.991 0.254
Tb3 0.576 0.734 0.412
Br3 0.893 0.991 0.246
Br4 0.107 0.009 0.754
Tb4 0.924 0.266 0.912
Bi3 0.821 0.445 0.356
Bi4 0.679 0.555 0.856

Output
energy above the lowest structure with this stoichiometry	0	meV/atom

---

A plane-wave DFT calculation with PBE-GGA was carried out for an optimized crystal structure of P2S2F.

a b c (Å): 3.969 3.969 5.834
angles (deg): 90.00 90.00 90.00
Positions (direct):
P1 0.500 0.000 0.000
S1 0.500 0.500 0.500
F1 0.000 0.000 0.000
P2 0.000 0.500 0.000
S2 0.000 0.000 0.500

Output
energy above the lowest structure with this stoichiometry	476	meV/atom

---

A plane-wave DFT calculation with PBE-GGA was carried out for an optimized crystal structure of BiPAuS2.

a b c (Å): 4.707 4.737 4.707
angles (deg): 90.00 90.00 90.00
Positions (direct):
S1 0.500 0.000 0.000
Bi1 0.500 0.500 0.500
S2 0.000 0.000 0.500
P1 0.000 0.000 0.000
Au1 0.000 0.500 0.000

Output
energy above the lowest structure with this stoichiometry	0	meV/atom

---

A plane-wave DFT calculation with PBE-GGA was carried out for an optimized crystal structure of RbNaBe2.

a b c (Å): 5.472 5.472 5.472
angles (deg): 60.00 60.00 60.00
Positions (direct):
Be1 0.250 0.250 0.250
Rb1 0.500 0.500 0.500
Be2 0.750 0.750 0.750
Na1 0.000 0.000 0.000

Output
energy above the lowest structure with this stoichiometry	321	meV/atom
E_form	1.21	eV/atom

---

A plane-wave DFT calculation with PBE-GGA was carried out for an optimized crystal structure of HfNbCl2.

a b c (Å): 4.306 4.306 8.979
angles (deg): 76.12 76.12 90.00
Positions (direct):
Cl1 0.621 0.125 0.250
Cl2 0.129 0.625 0.250
Nb1 0.250 0.750 0.500
Nb2 0.500 0.500 0.000
Cl3 0.375 0.379 0.750
Hf1 0.750 0.250 0.500
Hf2 0.000 0.000 0.000
Cl4 0.875 0.871 0.750

Output
energy above the lowest structure with this stoichiometry	250	meV/atom

---

A plane-wave DFT calculation with PBE-GGA was carried out for an optimized crystal structure of HoSi2Rh4.

a b c (Å): 4.034 6.391 16.632
angles (deg): 90.00 90.00 90.00
Positions (direct):
Si1 0.750 0.239 0.961
Rh1 0.250 0.355 0.030
Rh2 0.250 0.268 0.695
Rh3 0.750 0.311 0.316
Rh4 0.750 0.645 0.970
Ho1 0.750 0.994 0.638
Si2 0.750 0.026 0.218
Rh5 0.250 0.998 0.925
Rh6 0.250 0.689 0.684
Si3 0.250 0.739 0.539
Si4 0.250 0.974 0.782
Rh7 0.250 0.811 0.184
Ho2 0.250 0.006 0.362
Si5 0.750 0.474 0.718
Rh8 0.250 0.232 0.195
Rh9 0.250 0.145 0.530
Rh10 0.750 0.855 0.470
Si6 0.250 0.761 0.039
Si7 0.250 0.526 0.282
Rh11 0.750 0.732 0.305
Rh12 0.750 0.002 0.075
Rh13 0.750 0.498 0.575
Si8 0.750 0.261 0.461
Rh14 0.750 0.189 0.816
Ho3 0.250 0.494 0.862
Rh15 0.250 0.502 0.425
Rh16 0.750 0.768 0.805
Ho4 0.750 0.506 0.138

Output
energy above the lowest structure with this stoichiometry	0	meV/atom

---

For reference, magnetic moment by record: 0.800 0.000 0.000 0.000 1.245 0.000 0.480 0.000 0.000 0.000 0.000 0.000 0.000 0.000 μB/atom.
For reference, volume by record: 31.26 32.15 12.02 13.86 24.64 23.70 38.68 31.04 31.15 18.38 20.99 28.97 19.58 15.31 Å³/atom.